# K4CdAs

Crystalline K4CdAs at its relaxed geometry (PBE, Alexandria via LeMat-Bulk).

Values from the calculation:
* ρ: 2.377 g cm⁻³
* E: -1.41 eV/atom
* E_form: 1.5 eV/f.u.

Cell lengths 9.8659, 9.8659, 9.8659 Å; angles 90.00, 90.00, 90.00 degrees
Space group F-43m (No. 216)
One atom of each set of equivalent atoms:
K 0.1234 0.1234 0.1234
Cd 0.0000 0.0000 0.5000
As 0.2500 0.2500 0.7500

=====

# K3CdAs

Crystalline K3CdAs at its relaxed geometry (PBE, Alexandria via LeMat-Bulk).

Values from the calculation:
* ρ: 1.901 g cm⁻³
* E: -1.88 eV/atom
* E above lowest polymorph: 0.000 eV per atom
* E_form: -0.6 eV/f.u.

Cell lengths 6.4321, 6.4321, 6.4321 Å; angles 90.00, 90.00, 90.00 degrees
Space group Pm-3m (No. 221)
One atom of each set of equivalent atoms:
K 0.0000 0.0000 0.5000
Cd 0.5000 0.5000 0.5000
As 0.0000 0.0000 0.0000

=====

# K4Cd2As

Crystalline K4Cd2As at its relaxed geometry (PBE, Alexandria via LeMat-Bulk).

Values from the calculation:
* ρ: 2.097 g cm⁻³
* E: -1.61 eV/atom
* E_form: -0.4 eV/f.u.

Cell lengths 6.5459, 6.5459, 16.8626 Å; angles 90.00, 90.00, 90.00 degrees
Space group I4/mmm (No. 139)
One atom of each set of equivalent atoms:
K 0.0000 0.0000 0.1864
K 0.0000 0.5000 0.0000
Cd 0.0000 0.0000 0.4063
As 0.0000 0.0000 0.0000

=====

# K2LiCdAs2

Crystalline K2LiCdAs2 at its relaxed geometry (PBE, Alexandria via LeMat-Bulk).

Values from the calculation:
* ρ: 3.521 g cm⁻³
* E: -2.83 eV/atom
* E_form: -2.7 eV/f.u.

Cell lengths 6.4012, 15.7696, 6.4929 Å; angles 90.00, 90.00, 90.00 degrees
Space group Ibam (No. 72)
One atom of each set of equivalent atoms:
K 0.2481 0.1731 0.0000
Li 0.0000 0.0000 0.2500
Cd 0.0000 0.5000 0.2500
As 0.2460 0.0987 0.5000